(1)
First-principles (PBEsol) data for a relaxed structure of MoRh, as listed in Alexandria.

The structure in POSCAR format:
```
MoRh
1.0
-1.488 -0.012 2.268
0.010 -2.713 -0.007
6.537 0.013 4.290
Mo Rh
2 2
Cartesian
0.155 -0.004 1.724
5.643 -1.345 3.696
3.354 0.002 3.823
2.444 -1.351 1.597
```

Output
magnetization: 0.00 μB/f.u.
SG: P4/nmm (129)
formation energy from the elements: -76 meV/atom
crystal system: tetragonal

---

(2)
First-principles (PBEsol) data for a relaxed structure of MoRh, as listed in Alexandria.

The structure in POSCAR format:
```
MoRh
1.0
2.715 0.000 0.000
0.000 4.384 0.000
0.000 0.000 4.771
Rh Mo
2 2
Cartesian
1.358 3.288 1.560
1.358 1.096 3.212
0.000 1.096 0.816
0.000 3.288 3.955
```

Output
magnetization: 0.00 μB/f.u.
SG: Pmma (51)
formation energy from the elements: -217 meV/atom
crystal system: orthorhombic

---

(3)
First-principles (PBEsol) data for a relaxed structure of Mo3Rh, as listed in Alexandria.

The structure in POSCAR format:
```
Mo3Rh
1.0
-0.525 -1.678 2.620
3.066 0.172 0.725
-1.007 5.077 3.050
Rh Mo
1 3
Cartesian
0.767 1.785 3.198
1.270 -0.753 1.672
-0.244 1.230 0.739
-0.763 3.847 2.311
```

Output
magnetization: 0.00 μB/f.u.
SG: P4/mmm (123)
formation energy from the elements: 134 meV/atom
crystal system: tetragonal

---

(4)
First-principles (PBEsol) data for a relaxed structure of MoRu2Rh, as listed in Alexandria.

The structure in POSCAR format:
```
MoRu2Rh
1.0
3.787 0.000 0.000
0.000 3.811 0.000
0.000 0.000 3.811
Mo Ru Rh
1 2 1
Cartesian
1.893 1.905 1.905
0.000 0.000 1.905
0.000 1.905 0.000
1.893 0.000 0.000
```

Output
magnetization: 0.00 μB/f.u.
ΔE to the lowest computed polymorph: 0 meV per atom
SG: P4/mmm (123)
formation energy from the elements: -87 meV/atom
crystal system: tetragonal

---

(5)
First-principles (PBEsol) data for a relaxed structure of MoRu2Rh, as listed in Alexandria.

The structure in POSCAR format:
```
MoRu2Rh
1.0
-0.502 4.249 -0.481
-3.126 2.054 2.133
0.992 2.664 3.233
Ru Mo Rh
2 1 1
Cartesian
-1.977 6.725 3.664
0.000 0.000 0.000
-1.318 4.483 2.443
-0.659 2.242 1.221
```

Output
magnetization: 0.01 μB/f.u.
ΔE to the lowest computed polymorph: 493 meV per atom
SG: F-43m (216)
formation energy from the elements: 406 meV/atom
crystal system: cubic

---

(6)
First-principles (PBEsol) data for a relaxed structure of MoRu2Rh, as listed in Alexandria.

The structure in POSCAR format:
```
MoRu2Rh
1.0
-3.684 1.019 0.242
-0.781 -3.264 1.845
2.917 2.818 2.245
Rh Ru Mo
1 2 1
Cartesian
0.000 0.000 0.000
-0.048 -0.785 2.567
-1.500 1.357 1.765
-2.233 -1.123 1.044
```

Output
magnetization: 0.00 μB/f.u.
ΔE to the lowest computed polymorph: 64 meV per atom
SG: I4/mmm (139)
formation energy from the elements: -24 meV/atom
crystal system: tetragonal